Arrangement a

This record from the Alexandria database describes a relaxed structure of Rb2LiHfI6. The functional is PBE.

Cell and atoms, written as POSCAR:
```
Rb2LiHfI6
1.0
0.0000 5.8804 5.8804
5.8804 0.0000 5.8804
5.8804 5.8804 0.0000
Rb Li Hf I
2 1 1 6
direct
0.2500 0.2500 0.2500
0.7500 0.7500 0.7500
0.0000 0.0000 0.0000
0.5000 0.5000 0.5000
0.2539 0.2539 0.7461
0.2539 0.7461 0.2539
0.2539 0.7461 0.7461
0.7461 0.2539 0.2539
0.7461 0.2539 0.7461
0.7461 0.7461 0.2539
```

Arrangement b

This record from the Alexandria database describes a relaxed structure of Rb2LiHfI6. The functional is PBE.

Cell and atoms, written as POSCAR:
```
Rb2LiHfI6
1.0
4.1557 2.3993 13.8793
-4.1557 2.3993 13.8793
0.0000 -4.7986 13.8793
Rb Li Hf I
4 2 2 12
direct
0.1227 0.1227 0.1227
0.2999 0.2999 0.2999
0.7001 0.7001 0.7001
0.8773 0.8773 0.8773
0.4210 0.4210 0.4210
0.5790 0.5790 0.5790
0.0000 0.0000 0.0000
0.5000 0.5000 0.5000
0.1297 0.6249 0.6249
0.2044 0.2044 0.7126
0.2044 0.7126 0.2044
0.2874 0.7956 0.7956
0.3751 0.3751 0.8703
0.3751 0.8703 0.3751
0.6249 0.1297 0.6249
0.6249 0.6249 0.1297
0.7126 0.2044 0.2044
0.7956 0.2874 0.7956
0.7956 0.7956 0.2874
0.8703 0.3751 0.3751
```

What should be chosen as the least stable of them? Choose arrangement a.

Arrangement a

This record from the Alexandria database describes a relaxed structure of LiHfSb2I. The functional is PBE.

Cell and atoms, written as POSCAR:
```
LiHfSb2I
1.0
5.4835 0.0000 0.0000
0.0000 5.4835 0.0000
0.0000 0.0000 6.1043
Li Hf Sb I
1 1 2 1
direct
0.0000 0.0000 0.0000
0.5000 0.5000 0.5000
0.0000 0.5000 0.5000
0.5000 0.0000 0.5000
0.5000 0.5000 0.0000
```

Arrangement b

This record from the Alexandria database describes a relaxed structure of LiHfSb2I. The functional is PBE.

Cell and atoms, written as POSCAR:
```
LiHfSb2I
1.0
4.9226 0.0000 0.0000
0.0000 4.9226 0.0000
0.0000 0.0000 5.3096
Li Hf Sb I
1 1 2 1
direct
0.0000 0.0000 0.0000
0.5000 0.5000 0.5000
0.0000 0.5000 0.0000
0.5000 0.0000 0.0000
0.0000 0.0000 0.5000
```

What should be chosen as the least stable of them? Choose arrangement b.